# 1
DFT (PBE-GGA) results for an optimized crystal structure of Gd2LuZn.

Calculated values
E_form = -0.03 eV/atom

```
data_Gd2LuZn
_chemical_formula_sum 'Gd2 Lu1 Zn1'
_cell_length_a 5.348
_cell_length_b 5.348
_cell_length_c 3.761
_cell_angle_alpha 90.00
_cell_angle_beta 90.00
_cell_angle_gamma 90.00
_space_group_name_H-M_alt 'P 4/m m m'
_space_group_IT_number 123
_space_group_name_Hall '-P 4 2'
loop_
_atom_site_label
_atom_site_type_symbol
_atom_site_fract_x
_atom_site_fract_y
_atom_site_fract_z
_atom_site_occupancy
Gd1 Gd 0.000 0.500 0.000 1
Lu1 Lu 0.000 0.000 0.500 1
Zn1 Zn 0.500 0.500 0.500 1
```


# 2
DFT (PBE-GGA) results for an optimized crystal structure of TiPt3Rh4.

Calculated values
E_form = -0.15 eV/atom

```
data_TiPt3Rh4
_chemical_formula_sum 'Ti2 Pt6 Rh8'
_cell_length_a 2.756
_cell_length_b 8.667
_cell_length_c 10.314
_cell_angle_alpha 90.00
_cell_angle_beta 90.00
_cell_angle_gamma 90.00
_space_group_name_H-M_alt 'I m m m'
_space_group_IT_number 71
_space_group_name_Hall '-I 2 2'
loop_
_atom_site_label
_atom_site_type_symbol
_atom_site_fract_x
_atom_site_fract_y
_atom_site_fract_z
_atom_site_occupancy
Ti1 Ti 0.000 0.000 0.000 1
Pt1 Pt 0.000 0.000 0.500 1
Pt2 Pt 0.000 0.500 0.291 1
Rh1 Rh 0.000 0.260 0.127 1
```


# 3
DFT (PBE-GGA) results for an optimized crystal structure of ZrTl2Tc.

Calculated values
E_form = 0.37 eV/atom

```
data_ZrTl2Tc
_chemical_formula_sum 'Zr1 Tl2 Tc1'
_cell_length_a 4.284
_cell_length_b 4.284
_cell_length_c 4.555
_cell_angle_alpha 90.00
_cell_angle_beta 90.00
_cell_angle_gamma 90.00
_space_group_name_H-M_alt 'P 4/m m m'
_space_group_IT_number 123
_space_group_name_Hall '-P 4 2'
loop_
_atom_site_label
_atom_site_type_symbol
_atom_site_fract_x
_atom_site_fract_y
_atom_site_fract_z
_atom_site_occupancy
Zr1 Zr 0.000 0.000 0.000 1
Tl1 Tl 0.000 0.500 0.500 1
Tc1 Tc 0.500 0.500 0.000 1
```


# 4
DFT (PBE-GGA) results for an optimized crystal structure of AcPrSmN3.

```
data_AcPrSmN3
_chemical_formula_sum 'Ac2 Pr2 Sm2 N6'
_cell_length_a 6.368
_cell_length_b 3.724
_cell_length_c 9.551
_cell_angle_alpha 90.00
_cell_angle_beta 101.91
_cell_angle_gamma 90.00
_space_group_name_H-M_alt 'P 1 21/m 1'
_space_group_IT_number 11
loop_
_space_group_symop_operation_xyz
'x,y,z'
'-x,-y,-z'
'-x,y+1/2,-z'
'x,-y+1/2,z'
loop_
_atom_site_label
_atom_site_type_symbol
_atom_site_fract_x
_atom_site_fract_y
_atom_site_fract_z
_atom_site_occupancy
Ac1 Ac 0.154 0.250 0.198 1
Pr1 Pr 0.270 0.750 0.545 1
Sm1 Sm 0.352 0.250 0.859 1
N1 N 0.037 0.250 0.673 1
N2 N 0.257 0.750 0.983 1
N3 N 0.470 0.750 0.347 1
```


# 5
DFT (PBE-GGA) results for an optimized crystal structure of HgH6Br2O2.

```
data_HgH6Br2O2
_chemical_formula_sum 'Hg2 H12 Br4 O4'
_cell_length_a 13.238
_cell_length_b 5.231
_cell_length_c 7.023
_cell_angle_alpha 90.00
_cell_angle_beta 120.52
_cell_angle_gamma 90.00
_space_group_name_H-M_alt 'C 1 2/m 1'
_space_group_IT_number 12
loop_
_space_group_symop_operation_xyz
'x,y,z'
'-x,-y,-z'
'-x,y,-z'
'x,-y,z'
'x+1/2,y+1/2,z'
'-x+1/2,-y+1/2,-z'
'-x+1/2,y+1/2,-z'
'x+1/2,-y+1/2,z'
loop_
_atom_site_label
_atom_site_type_symbol
_atom_site_fract_x
_atom_site_fract_y
_atom_site_fract_z
_atom_site_occupancy
Hg1 Hg 0.000 0.000 0.000 1
H1 H 0.159 0.338 0.591 1
H2 H 0.166 0.500 0.397 1
Br1 Br 0.236 0.000 0.758 1
O1 O 0.128 0.500 0.494 1
```


# 6
DFT (PBE-GGA) results for an optimized crystal structure of Ba2TlPdPb6.

Calculated values
E_form = -0.22 eV/atom

```
data_Ba2TlPdPb6
_chemical_formula_sum 'Ba12 Tl6 Pd6 Pb36'
_cell_length_a 7.4309
_cell_length_b 7.4309
_cell_length_c 44.7604
_cell_angle_alpha 90.00
_cell_angle_beta 90.00
_cell_angle_gamma 120.00
_space_group_name_H-M_alt 'R -3 m'
_space_group_IT_number 166
_space_group_name_Hall '-R 3 2"'
loop_
_atom_site_label
_atom_site_type_symbol
_atom_site_fract_x
_atom_site_fract_y
_atom_site_fract_z
_atom_site_occupancy
Ba1 Ba 0.0000 0.0000 0.1171 1
Ba2 Ba 0.0000 0.0000 0.2812 1
Tl1 Tl 0.0000 0.0000 0.4245 1
Pd1 Pd 0.0000 0.0000 0.0000 1
Pd2 Pd 0.0000 0.0000 0.5000 1
Pb1 Pb 0.0375 0.5188 0.3015 1
Pb2 Pb 0.0480 0.5240 0.8646 1
```


# 7
DFT (PBE-GGA) results for an optimized crystal structure of ScC3.

Calculated values
E_form = 0.72 eV/atom

```
data_ScC3
_chemical_formula_sum 'Sc4 C12'
_cell_length_a 4.236
_cell_length_b 4.648
_cell_length_c 7.871
_cell_angle_alpha 90.00
_cell_angle_beta 90.00
_cell_angle_gamma 90.00
_space_group_name_H-M_alt 'P n m a'
_space_group_IT_number 62
loop_
_space_group_symop_operation_xyz
'x,y,z'
'-x,-y,-z'
'-x+1/2,-y,z+1/2'
'x+1/2,y,-z+1/2'
'x+1/2,-y+1/2,-z+1/2'
'-x+1/2,y+1/2,z+1/2'
'-x,y+1/2,-z'
'x,-y+1/2,z'
loop_
_atom_site_label
_atom_site_type_symbol
_atom_site_fract_x
_atom_site_fract_y
_atom_site_fract_z
_atom_site_occupancy
Sc1 Sc 0.192 0.250 0.092 1
C1 C 0.032 0.595 0.326 1
C2 C 0.174 0.750 0.153 1
```


# 8
DFT (PBE-GGA) results for an optimized crystal structure of Tl2AgCl.

```
data_Tl2AgCl
_chemical_formula_sum 'Tl4 Ag2 Cl2'
_cell_length_a 7.743
_cell_length_b 7.785
_cell_length_c 3.518
_cell_angle_alpha 90.00
_cell_angle_beta 90.28
_cell_angle_gamma 90.00
_space_group_name_H-M_alt 'C 1 2/m 1'
_space_group_IT_number 12
loop_
_space_group_symop_operation_xyz
'x,y,z'
'-x,-y,-z'
'-x,y,-z'
'x,-y,z'
'x+1/2,y+1/2,z'
'-x+1/2,-y+1/2,-z'
'-x+1/2,y+1/2,-z'
'x+1/2,-y+1/2,z'
loop_
_atom_site_label
_atom_site_type_symbol
_atom_site_fract_x
_atom_site_fract_y
_atom_site_fract_z
_atom_site_occupancy
Tl1 Tl 0.250 0.250 0.000 1
Ag1 Ag 0.000 0.000 0.500 1
Cl1 Cl 0.000 0.500 0.500 1
```


# 9
DFT (PBE-GGA) results for an optimized crystal structure of CrIrPt2.

Calculated values
E_form = 0.35 eV/atom

```
data_CrIrPt2
_chemical_formula_sum 'Cr4 Ir4 Pt8'
_cell_length_a 6.973
_cell_length_b 6.973
_cell_length_c 5.332
_cell_angle_alpha 90.00
_cell_angle_beta 90.00
_cell_angle_gamma 90.00
_space_group_name_H-M_alt 'I -4 2 d'
_space_group_IT_number 122
_space_group_name_Hall 'I -4 2bw'
loop_
_atom_site_label
_atom_site_type_symbol
_atom_site_fract_x
_atom_site_fract_y
_atom_site_fract_z
_atom_site_occupancy
Cr1 Cr 0.000 0.000 0.000 1
Ir1 Ir 0.000 0.000 0.500 1
Pt1 Pt 0.237 0.250 0.125 1
```


# 10
DFT (PBE-GGA) results for an optimized crystal structure of RbPt.

Calculated values
E_form = 1.14 eV/atom

```
data_RbPt
_chemical_formula_sum 'Rb6 Pt6'
_cell_length_a 9.680
_cell_length_b 9.680
_cell_length_c 9.680
_cell_angle_alpha 90.00
_cell_angle_beta 90.00
_cell_angle_gamma 90.00
_space_group_name_H-M_alt 'P m -3 n'
_space_group_IT_number 223
_space_group_name_Hall '-P 4n 2 3'
loop_
_atom_site_label
_atom_site_type_symbol
_atom_site_fract_x
_atom_site_fract_y
_atom_site_fract_z
_atom_site_occupancy
Rb1 Rb 0.000 0.250 0.500 1
Pt1 Pt 0.000 0.500 0.250 1
```


# 11
DFT (PBE-GGA) results for an optimized crystal structure of YLuTe3.

```
data_YLuTe3
_chemical_formula_sum 'Y2 Lu2 Te6'
_cell_length_a 4.9105
_cell_length_b 4.9105
_cell_length_c 18.1162
_cell_angle_alpha 90.00
_cell_angle_beta 90.00
_cell_angle_gamma 120.00
_space_group_name_H-M_alt 'P 63/m m c'
_space_group_IT_number 194
_space_group_name_Hall '-P 6c 2c'
loop_
_atom_site_label
_atom_site_type_symbol
_atom_site_fract_x
_atom_site_fract_y
_atom_site_fract_z
_atom_site_occupancy
Y1 Y 0.0000 0.0000 0.0000 1
Lu1 Lu 0.3333 0.6667 0.2500 1
Te1 Te 0.0000 0.0000 0.2500 1
Te2 Te 0.3333 0.6667 0.0815 1
```


# 12
DFT (PBE-GGA) results for an optimized crystal structure of Pr2NpHgO8.

```
data_Pr2NpHgO8
_chemical_formula_sum 'Pr2 Np1 Hg1 O8'
_cell_length_a 4.202
_cell_length_b 5.452
_cell_length_c 7.934
_cell_angle_alpha 84.79
_cell_angle_beta 88.09
_cell_angle_gamma 82.43
_space_group_name_H-M_alt 'P -1'
_space_group_IT_number 2
loop_
_space_group_symop_operation_xyz
'x,y,z'
'-x,-y,-z'
loop_
_atom_site_label
_atom_site_type_symbol
_atom_site_fract_x
_atom_site_fract_y
_atom_site_fract_z
_atom_site_occupancy
Pr1 Pr 0.016 0.026 0.246 1
Np1 Np 0.500 0.500 0.500 1
Hg1 Hg 0.500 0.500 0.000 1
O1 O 0.080 0.720 0.509 1
O2 O 0.108 0.764 0.022 1
O3 O 0.430 0.241 0.680 1
O4 O 0.454 0.289 0.274 1
```


no.,DFT total energy (eV/atom),spin magnetization (μB/cell)
1,-8.515,14.7
2,-7.080,0.0
3,-5.539,1.2
4,-7.618,0.0
5,-3.765,0.0
6,-3.588,0.0
7,-7.782,0.0
8,-2.656,0.0
9,-7.287,9.6
10,-2.361,6.1
11,-5.269,0.0
12,-7.551,0.3